Record 1
This record from Alexandria describes AcZn3In3 after structural relaxation. The functional is GGA-PBE.

Lattice parameters (Å, degrees): 4.8489 7.2827 10.0924 113.74 90.00 90.00
Closest atoms and distances in Å follow each position.
Fractional positions:
In1 0.2500 0.0793 0.1589  2 Zn 2.78-2.98, 1 In 3.05
In2 0.7500 0.9207 0.8411  2 Zn 2.78-2.98, 1 In 3.05
In3 0.2500 0.2530 0.9300  4 Zn 2.82-3.13, 1 In 3.05
In4 0.7500 0.3874 0.3822  5 Zn 2.79-3.07
In5 0.7500 0.7470 0.0700  4 Zn 2.82-3.13, 1 In 3.05
In6 0.2500 0.6126 0.6178  5 Zn 2.79-3.07
Zn1 0.2500 0.6745 0.9153  5 In 2.82-3.13
Zn2 0.7500 0.8108 0.5431  3 Zn 2.60-2.75, 2 In 2.78-2.85
Zn3 0.2500 0.0005 0.6274  3 Zn 2.60-2.75, 2 In 2.79-2.86
Zn4 0.7500 0.3255 0.0847  5 In 2.82-3.13
Zn5 0.2500 0.1892 0.4569  3 Zn 2.60-2.75, 2 In 2.78-2.85
Zn6 0.7500 0.9995 0.3726  3 Zn 2.60-2.75, 2 In 2.79-2.86
Ac1 0.7500 0.3442 0.7248  9 Zn 3.34-3.69, 7 In 3.42-3.72
Ac2 0.2500 0.6558 0.2752  9 Zn 3.34-3.69, 7 In 3.42-3.72

* energy of formation from the pure elements: -0.23 eV per atom


Record 2
This record from Alexandria describes Ac4SiPt3 after structural relaxation. The functional is GGA-PBE.

Lattice parameters (Å, degrees): 4.3018 4.4960 11.7362 90.00 90.00 90.00
Closest atoms and distances in Å follow each position.
Fractional positions:
Pt1 0.0000 0.5000 0.5909  2 Pt 3.10, 7 Ac 3.16-3.39
Pt2 0.0000 0.0000 0.4089  2 Pt 3.10, 7 Ac 3.15-3.44
Pt3 0.5000 0.0000 0.9267  2 Si 2.79
Ac1 0.5000 0.0000 0.6373  7 Pt 3.16-3.44
Ac2 0.0000 0.5000 0.8624  5 Pt 3.19-3.20, 2 Si 3.23
Ac3 0.0000 0.0000 0.1386  3 Pt 3.17-3.29, 4 Si 3.22
Ac4 0.5000 0.5000 0.3672  6 Pt 3.15-3.39, 1 Si 3.51
Si1 0.5000 0.5000 0.0681  2 Pt 2.79

* raw formation energy: -991 meV per atom


Record 3
This record from Alexandria describes TiNi2HPt after structural relaxation. The functional is GGA-PBE.

Lattice parameters (Å, degrees): 3.7901 3.7901 3.8489 90.00 90.00 90.00
Closest atoms and distances in Å follow each position.
Fractional positions:
H1 0.0000 0.0000 0.0000  4 Ni 1.90, 2 Pt 1.92
Ni1 0.0000 0.5000 0.0000  2 H 1.90
Ni2 0.5000 0.0000 0.0000  2 H 1.90
Ti1 0.5000 0.5000 0.5000  4 Pt 2.68, 8 Ni 2.70
Pt1 0.0000 0.0000 0.5000  2 H 1.92

* offset from the most stable computed form: 0.57 eV/f.u.


Record 4
This record from Alexandria describes AsOsBr2 after structural relaxation. The functional is GGA-PBE.

Lattice parameters (Å, degrees): 3.8759 3.8759 8.6694 93.79 93.79 51.16
Closest atoms and distances in Å follow each position.
Fractional positions:
Os1 0.5352 0.5352 0.5379  3 As 2.42-2.44, 1 Br 2.66
As1 0.8525 0.8525 0.6698  1 Br 2.37, 3 Os 2.42-2.44
Br1 0.8938 0.8938 0.9438  1 As 2.37
Br2 0.2186 0.2186 0.3484  3 Os 2.66-2.73

* offset from the most stable computed form: 0.00 eV/f.u.
* raw formation energy: 90 meV per atom